## Zr2GaC (PBE)

Data for an optimized crystal structure of Zr2GaC.

a b c (Å): 6.6398 6.6398 5.6934
angles (deg): 54.33 54.33 90.00
Closest atoms and distances in Å follow each position.
Fractional positions:
Zr 0.8750 0.8115 0.7500  2 C 2.22
Zr 0.5615 0.1250 0.2500  2 C 2.22
Zr 0.3750 0.4385 0.7500  2 C 2.22
Zr 0.1885 0.6250 0.2500  2 C 2.22
C 0.5000 0.5000 0.0000  4 Zr 2.22
C 0.2500 0.7500 0.5000  4 Zr 2.22
Ga 0.7500 0.2500 0.5000  4 Zr 2.78
Ga 0.0000 0.0000 0.0000  4 Zr 2.78

## Properties
Space-group type: I-42d, No. 122
ΔE_f, eV/atom: -0.19